Record 1
Computed, not measured: an optimized crystal structure of CeCuH6Os at the PBE-GGA level of DFT.

Cell and atoms, written as extended XYZ:
```
9
Lattice="4.631 0.000 0.000 2.316 4.010 0.000 0.000 0.000 4.328" Properties=species:S:1:pos:R:3 pbc="T T T"
Ce 4.631 0.000 4.328
Cu 4.631 2.674 2.164
H 1.212 1.972 1.005
H 2.314 0.063 3.323
H 3.419 1.972 3.323
H 1.213 1.975 3.323
H 3.417 1.975 1.005
H 2.317 0.063 1.005
Os 2.315 1.337 2.164
```

## Properties
Crystal system: hexagonal
Size of the total moment in Bohr magnetons per cell: 0.46
Uncorrected energy in eV/cell: -43.27
Density in g cm⁻³: 8.3

Record 2
Computed, not measured: an optimized crystal structure of CrSe3 at the PBE-GGA level of DFT.

Cell and atoms, written as extended XYZ:
```
8
Lattice="-1.101 6.849 -2.905 -0.923 -5.699 -4.820 -3.688 -0.195 0.937" Properties=species:S:1:pos:R:3 pbc="T T T"
Cr -3.789 1.225 -3.038
Cr -1.922 -0.269 -3.750
Se -3.732 -2.766 -3.647
Se -1.979 3.721 -3.140
Se -4.157 -0.534 -4.853
Se -1.554 1.489 -1.934
Se -2.347 1.940 -4.959
Se -3.365 -0.984 -1.829
```

## Properties
Crystal system: orthorhombic
Size of the total moment in Bohr magnetons per cell: 1.10
Uncorrected formation energy in eV/atom: 0.073
Density in g cm⁻³: 4.9

Record 3
Computed, not measured: an optimized crystal structure of Al2TcPd at the PBE-GGA level of DFT.

Cell and atoms, written as extended XYZ:
```
4
Lattice="-1.995 -1.133 2.199 -2.314 -1.821 -3.036 2.342 -3.507 0.318" Properties=species:S:1:pos:R:3 pbc="T T T"
Tc -0.983 -3.230 -0.259
Pd -0.997 -0.566 1.100
Al 1.171 -1.754 0.159
Al -1.157 -0.910 -1.518
```

## Properties
Crystal system: tetragonal
Size of the total moment in Bohr magnetons per cell: 0.00
Uncorrected energy in eV/cell: -25.77
Density in g cm⁻³: 7.5

Record 4
Computed, not measured: an optimized crystal structure of Na2LaGaF8 at the PBE-GGA level of DFT.

Cell and atoms, written as extended XYZ:
```
12
Lattice="4.877 -0.046 -0.003 -0.014 5.277 -0.006 0.004 0.008 7.015" Properties=species:S:1:pos:R:3 pbc="T T T"
Na 2.435 2.621 5.430
Na 2.433 2.617 1.577
La 0.002 0.004 3.508
Ga 0.000 0.000 0.000
F 0.830 4.275 1.484
F 3.505 3.966 7.009
F 4.036 0.958 1.486
F 4.038 0.963 5.523
F 1.363 1.272 -0.002
F 0.832 4.280 5.521
F 3.167 3.753 3.502
F 1.700 1.485 3.505
```

## Properties
Crystal system: monoclinic
Size of the total moment in Bohr magnetons per cell: 0.07
Uncorrected formation energy in eV/atom: -3.162
Density in g cm⁻³: 3.7

Record 5
Computed, not measured: an optimized crystal structure of Ba2PbCl at the PBE-GGA level of DFT.

Cell and atoms, written as extended XYZ:
```
4
Lattice="5.939 0.000 0.000 2.969 5.143 0.000 2.969 1.714 4.849" Properties=species:S:1:pos:R:3 pbc="T T T"
Pb 8.908 5.143 3.637
Ba 0.000 0.000 0.000
Ba 2.969 1.714 1.212
Cl 5.939 3.429 2.425
```

## Properties
Crystal system: cubic
Size of the total moment in Bohr magnetons per cell: 0.00
Uncorrected formation energy in eV/atom: -0.516
Density in g cm⁻³: 5.8
Polymorph energy (0 for the lowest one) in meV/atom: 711.3

Record 6
Computed, not measured: an optimized crystal structure of Na4ZnIn4 at the PBE-GGA level of DFT.

Cell and atoms, written as extended XYZ:
```
9
Lattice="5.997 0.000 0.000 -2.998 6.909 2.999 0.000 0.000 5.997" Properties=species:S:1:pos:R:3 pbc="T T T"
Na -1.173 5.700 4.824
Na 1.173 5.700 7.170
Na 1.825 1.210 4.172
Na 4.172 1.210 1.825
Zn 5.997 0.001 5.997
In 1.179 2.530 1.179
In 4.817 2.530 4.817
In -1.819 4.380 7.816
In 1.819 4.380 4.178
```

## Properties
Crystal system: tetragonal
Size of the total moment in Bohr magnetons per cell: 0.00
Uncorrected energy in eV/cell: -17.24
Density in g cm⁻³: 4.1